Compound: Sr2VCdPd
Source: Alexandria via LeMat-Bulk
Functional: PBE-GGA
Structure: relaxed

Cell lengths 5.752, 5.752, 5.208 Å; angles 90.00, 90.00, 90.00 degrees
Positions (direct):
Sr: 0.000 0.500 0.000
Sr: 0.500 0.000 0.000
V: 0.000 0.000 0.500
Cd: 0.500 0.500 0.500
Pd: 0.500 0.500 0.000

Properties
spin magnetization = 0.55 μB per cell
DFT formation energy = 0.58 eV per atom
E = -3.136 eV per atom